Record 1
A PBEsol-optimized structure of LaCoRe, computed with SCAN.

Cell: 4.3451 4.3451 4.3451 Å, 60.00 60.00 60.00°
Last column: nearest neighbours and their distance in Å.
Positions (direct):
La1 0.2500 0.2500 0.2500  4 Co 2.66, 4 Re 2.66
Co1 0.5000 0.5000 0.5000  4 La 2.66
Re1 0.0000 0.0000 0.0000  4 La 2.66

Computed properties:
Space group: F-43m, No. 216
ΔH_f (0 K): 518 kJ/mol of formula units
Crystal system: cubic



Record 2
A PBEsol-optimized structure of Tm4CdSe7, computed with SCAN.

Cell: 3.8831 6.7467 11.9087 Å, 104.91 90.00 106.72°
Last column: nearest neighbours and their distance in Å.
Positions (direct):
Se1 0.6544 0.3089 0.0441  4 Tm 2.80-2.90
Se2 0.0326 0.0653 0.7891  4 Tm 2.73-2.76
Tm1 0.2974 0.5949 0.1879  7 Se 2.81-3.04
Se3 0.7474 0.4948 0.3482  3 Tm 2.80-2.92, 2 Cd 2.83
Tm2 0.9923 0.9845 0.0028  6 Se 2.73-2.80
Se4 0.2649 0.5298 0.6463  4 Tm 2.81-2.95, 1 Cd 2.85
Se5 0.5276 0.0552 0.5360  2 Tm 2.75, 2 Cd 2.82
Se6 0.9595 0.9191 0.2198  1 Cd 2.70, 3 Tm 2.73-2.81
Tm3 0.8891 0.7782 0.5720  6 Se 2.75-2.81
Tm4 0.6844 0.3688 0.7892  6 Se 2.76-2.99
Cd1 0.1185 0.2370 0.4198  6 Se 2.70-2.85
Se7 0.3318 0.6636 0.9448  5 Tm 2.79-3.04

Computed properties:
Space group: Cm, No. 8
Raw formation energy: -2081 kJ/mol of formula units
Crystal system: monoclinic



Record 3
A PBEsol-optimized structure of ReSb3C, computed with SCAN.

Cell: 4.5225 4.5225 4.5225 Å, 90.00 90.00 90.00°
Last column: nearest neighbours and their distance in Å.
Positions (direct):
Sb1 0.0000 0.0000 0.5000  2 C 2.26
Sb2 0.5000 0.0000 0.0000  2 C 2.26
C1 0.0000 0.0000 0.0000  6 Sb 2.26
Sb3 0.0000 0.5000 0.0000  2 C 2.26
Re1 0.5000 0.5000 0.5000  12 Sb 3.20

Computed properties:
Space group: Pm-3m, No. 221
Raw formation energy: 783 kJ/mol of formula units
Crystal system: cubic



Record 4
A PBEsol-optimized structure of Ga2BiPt2, computed with SCAN.

Cell: 3.8661 3.8661 6.6842 Å, 106.81 106.81 90.00°
Last column: nearest neighbours and their distance in Å.
Positions (direct):
Ga1 0.7500 0.2500 0.5000  4 Pt 2.54, 4 Ga 2.73
Ga2 0.2500 0.7500 0.5000  4 Pt 2.54, 4 Ga 2.73
Pt1 0.6156 0.6156 0.2311  4 Ga 2.54, 1 Pt 2.82
Bi1 0.0000 0.0000 0.0000  8 Pt 3.08
Pt2 0.3844 0.3844 0.7689  4 Ga 2.54, 1 Pt 2.82

Computed properties:
Space group: I4/mmm, No. 139
ΔH_f (0 K): -237 kJ/mol of formula units
Crystal system: tetragonal



Respective magnetization values: 2.86 0.00 1.59 0.00 μB per formula unit.